# PrSm2Ho (PBE, relaxed)
data_PrSm2Ho
_chemical_formula_sum 'Pr3 Sm6 Ho3'
_symmetry_space_group_name_H-M 'R 3 m'
_symmetry_Int_Tables_number 160
_symmetry_space_group_name_Hall 'R 3 -2"'
_cell_length_a 3.6347
_cell_length_b 3.6347
_cell_length_c 35.3669
_cell_angle_alpha 90.00
_cell_angle_beta 90.00
_cell_angle_gamma 120.00
loop_
_atom_site_label
_atom_site_fract_x
_atom_site_fract_y
_atom_site_fract_z
Pr1 0.0000 0.0000 0.0000
Sm1 0.0000 0.0000 0.5812
Sm2 0.0000 0.0000 0.7520
Ho1 0.0000 0.0000 0.1667
# **Energy relative to the lowest polymorph listed for this composition**: 0.0018 eV per atom
# **ΔE_f**: 19 meV per atom

***

# PuInGa2Au4 (PBE, relaxed)
data_PuInGa2Au4
_chemical_formula_sum 'Pu3 In3 Ga6 Au12'
_symmetry_space_group_name_H-M 'R -3 m'
_symmetry_Int_Tables_number 166
_symmetry_space_group_name_Hall '-R 3 2"'
_cell_length_a 4.5017
_cell_length_b 4.5017
_cell_length_c 28.3805
_cell_angle_alpha 90.00
_cell_angle_beta 90.00
_cell_angle_gamma 120.00
loop_
_atom_site_label
_atom_site_fract_x
_atom_site_fract_y
_atom_site_fract_z
Pu1 0.0000 0.0000 0.0000
In1 0.0000 0.0000 0.5000
Ga1 0.0000 0.0000 0.2604
Au1 0.0000 0.0000 0.1198
Au2 0.0000 0.0000 0.3932
# **ΔE_f**: -280 meV per atom